## Gd2LuHf (GGA-PBE)

Data for a geometry-optimized Gd2LuHf structure.

Cell: 3.4075 3.4075 11.4605 Å, 81.45 81.45 60.00°
With the nearest neighbours (Å) after each atom.
Sites, in units of the cell vectors:
Gd: 0.7449 0.7449 0.7653  3 Hf 3.30, 6 Gd 3.41, 3 Lu 3.58
Gd: 0.2551 0.2551 0.2347  3 Hf 3.30, 6 Gd 3.41, 3 Lu 3.58
Hf: 0.0000 0.0000 0.0000  6 Gd 3.30, 6 Hf 3.41
Lu: 0.5000 0.5000 0.5000  6 Lu 3.41, 6 Gd 3.58

Properties
The formation energy is 0.130 eV/atom. The density comes out at 9.77 g cm⁻³.